No. 1
The following is a PBE calculation of an optimized crystal structure of Hf3UC4, from Alexandria.

Output
* energy of formation from the pure elements: -0.411 eV per atom
* energy above the lowest structure with this stoichiometry: 0.326 eV/atom
* ρ: 10.89 Mg/m³
* magnetic moment: 2.1 Bohr magnetons per cell

a = 4.709 Å, b = 7.647 Å, c = 6.955 Å
α = 90.00°, β = 90.00°, γ = 90.00°
Element x y z (fractional)
Hf 0.250 0.003 0.157
Hf 0.250 0.497 0.157
Hf 0.250 0.750 0.685
Hf 0.750 0.250 0.315
Hf 0.750 0.503 0.843
Hf 0.750 0.997 0.843
U 0.250 0.250 0.649
U 0.750 0.750 0.351
C 0.250 0.004 0.839
C 0.250 0.250 0.316
C 0.250 0.496 0.839
C 0.250 0.750 0.348
C 0.750 0.250 0.652
C 0.750 0.504 0.161
C 0.750 0.750 0.684
C 0.750 0.996 0.161


No. 2
The following is a PBE calculation of an optimized crystal structure of HfU5C6, from Alexandria.

Output
* energy of formation from the pure elements: -0.263 eV per atom
* ρ: 13.63 Mg/m³
* magnetic moment: 0.0 Bohr magnetons per cell

a = 5.993 Å, b = 5.993 Å, c = 5.978 Å
α = 99.52°, β = 99.52°, γ = 120.00°
Element x y z (fractional)
Hf 0.000 0.000 0.000
U 0.166 0.834 0.500
U 0.334 0.666 0.000
U 0.500 0.500 0.500
U 0.666 0.334 0.000
U 0.834 0.166 0.500
C 0.079 0.403 0.241
C 0.241 0.241 0.755
C 0.403 0.079 0.241
C 0.597 0.921 0.759
C 0.759 0.759 0.245
C 0.921 0.597 0.759


No. 3
The following is a PBE calculation of an optimized crystal structure of Hf2UC3, from Alexandria.

Output
* energy of formation from the pure elements: -0.646 eV per atom
* ρ: 12.94 Mg/m³
* magnetic moment: 1.2 Bohr magnetons per cell

a = 3.366 Å, b = 3.366 Å, c = 14.293 Å
α = 90.00°, β = 90.00°, γ = 90.00°
Element x y z (fractional)
Hf 0.000 0.000 0.172
Hf 0.000 0.000 0.828
Hf 0.500 0.500 0.328
Hf 0.500 0.500 0.672
U 0.000 0.000 0.500
U 0.500 0.500 0.000
C 0.000 0.000 0.000
C 0.000 0.000 0.333
C 0.000 0.000 0.667
C 0.500 0.500 0.167
C 0.500 0.500 0.500
C 0.500 0.500 0.833